Entry 1:
Entry from Alexandria: a relaxed AgClF2 crystal (GGA-PBE).

## Properties
* V: 141.1 Å³/cell
* crystal system: monoclinic
* uncorrected energy: -2.60 eV per atom
* E above lowest polymorph: 29.5 kJ per mole of atoms

```
AgClF2
1.0
3.229 0.000 0.000
0.000 8.132 0.000
-1.217 0.000 5.373
Ag Cl F
2 2 4
direct
0.228 0.250 0.444 Ag
0.772 0.750 0.556 Ag
0.114 0.750 0.184 Cl
0.886 0.250 0.816 Cl
0.323 0.589 0.686 F
0.323 0.911 0.686 F
0.677 0.089 0.314 F
0.677 0.411 0.314 F
```


Entry 2:
Entry from Alexandria: a relaxed AgClF4 crystal (GGA-PBE).

## Properties
* V: 211.1 Å³/cell
* crystal system: monoclinic
* uncorrected energy: -2.79 eV per atom

```
AgClF4
1.0
3.309 -7.179 0.000
3.309 7.179 0.000
-2.563 0.000 4.443
Ag Cl F
2 2 8
direct
0.190 0.810 0.750 Ag
0.810 0.190 0.250 Ag
0.418 0.582 0.250 Cl
0.582 0.418 0.750 Cl
0.043 0.435 0.693 F
0.124 0.275 0.171 F
0.275 0.124 0.671 F
0.435 0.043 0.193 F
0.565 0.957 0.807 F
0.725 0.876 0.329 F
0.876 0.725 0.829 F
0.957 0.565 0.307 F
```


Entry 3:
Entry from Alexandria: a relaxed Ag6Cl7F crystal (GGA-PBE).

## Properties
* V: 643.8 Å³/cell
* crystal system: orthorhombic
* uncorrected energy: -2.76 eV per atom

```
Ag6Cl7F
1.0
-3.499 6.944 6.624
3.499 -6.944 6.624
3.499 6.944 -6.624
Ag Cl F
12 14 2
direct
0.064 0.468 0.162 Ag
0.129 0.117 0.245 Ag
0.195 0.032 0.596 Ag
0.305 0.902 0.838 Ag
0.371 0.617 0.988 Ag
0.436 0.598 0.404 Ag
0.564 0.402 0.596 Ag
0.629 0.383 0.012 Ag
0.695 0.098 0.162 Ag
0.805 0.968 0.404 Ag
0.871 0.883 0.755 Ag
0.936 0.532 0.838 Ag
0.056 0.191 0.526 Cl
0.073 0.770 0.842 Cl
0.164 0.691 0.134 Cl
0.250 0.250 0.000 Cl
0.336 0.470 0.526 Cl
0.427 0.270 0.697 Cl
0.444 0.970 0.134 Cl
0.556 0.030 0.866 Cl
0.573 0.730 0.303 Cl
0.664 0.530 0.474 Cl
0.750 0.750 0.000 Cl
0.836 0.309 0.866 Cl
0.927 0.230 0.158 Cl
0.944 0.809 0.474 Cl
0.250 0.750 0.500 F
0.750 0.250 0.500 F
```


Entry 4:
Entry from Alexandria: a relaxed Ag3Cl2F crystal (GGA-PBE).

## Properties
* V: 598.9 Å³/cell
* crystal system: monoclinic
* uncorrected energy: -2.94 eV per atom
* E above lowest polymorph: 1.7 kJ per mole of atoms

```
Ag3Cl2F
1.0
3.895 0.000 0.000
0.000 11.720 0.000
-0.274 0.000 13.120
Ag Cl F
12 8 4
direct
0.218 0.094 0.271 Ag
0.218 0.406 0.771 Ag
0.253 0.708 0.952 Ag
0.253 0.792 0.452 Ag
0.273 0.644 0.710 Ag
0.273 0.856 0.210 Ag
0.727 0.144 0.790 Ag
0.727 0.356 0.290 Ag
0.747 0.208 0.548 Ag
0.747 0.292 0.048 Ag
0.782 0.594 0.229 Ag
0.782 0.906 0.729 Ag
0.157 0.218 0.918 Cl
0.157 0.282 0.418 Cl
0.399 0.057 0.642 Cl
0.399 0.443 0.142 Cl
0.601 0.557 0.858 Cl
0.601 0.943 0.358 Cl
0.843 0.718 0.582 Cl
0.843 0.782 0.082 Cl
0.254 0.670 0.305 F
0.254 0.830 0.805 F
0.746 0.170 0.195 F
0.746 0.330 0.695 F
```


Entry 5:
Entry from Alexandria: a relaxed Ag4Cl2F5 crystal (GGA-PBE).

## Properties
* V: 231.8 Å³/cell
* crystal system: monoclinic
* uncorrected energy: -3.07 eV per atom

```
Ag4Cl2F5
1.0
10.289 -1.748 0.000
10.289 1.748 0.000
-0.039 0.000 6.446
Ag Cl F
4 2 5
direct
0.026 0.026 0.250 Ag
0.329 0.329 0.047 Ag
0.671 0.671 0.953 Ag
0.974 0.974 0.750 Ag
0.081 0.081 0.596 Cl
0.919 0.919 0.404 Cl
0.120 0.120 0.093 F
0.220 0.220 0.833 F
0.500 0.500 0.000 F
0.780 0.780 0.167 F
0.880 0.880 0.907 F
```


Entry 6:
Entry from Alexandria: a relaxed AgCl2F crystal (GGA-PBE).

## Properties
* V: 195.7 Å³/cell
* crystal system: tetragonal
* uncorrected energy: -2.15 eV per atom
* E above lowest polymorph: 29.7 kJ per mole of atoms

```
AgCl2F
1.0
-2.697 2.697 6.728
2.697 -2.697 6.728
2.697 2.697 -6.728
Ag Cl F
2 4 2
direct
0.000 0.000 0.000 Ag
0.750 0.250 0.500 Ag
0.120 0.625 0.995 Cl
0.375 0.370 0.495 Cl
0.630 0.125 0.005 Cl
0.875 0.880 0.505 Cl
0.250 0.750 0.500 F
0.500 0.500 0.000 F
```